<i>
V3H5O8 | PBE+U | optimized geometry

```
V3H5O8
1.0
3.063 0.000 0.000
-0.014 4.906 0.000
-1.474 -2.153 9.775
V H O
3 5 8
Cartesian
0.000 0.000 0.000 V
-0.143 3.408 3.356 V
1.413 -0.802 6.028 V
-0.124 1.309 5.925 H
-0.061 0.564 9.649 H
1.385 1.795 2.004 H
0.700 2.352 7.632 H
1.408 0.682 3.645 H
-0.128 4.134 1.774 O
-0.152 2.915 5.230 O
-0.096 0.433 6.411 O
-0.016 1.507 9.318 O
1.359 1.133 0.395 O
1.393 2.103 2.959 O
1.407 -0.272 4.002 O
1.323 3.094 7.807 O
```

Values from the calculation:
Crystal system = triclinic
Space group = P1 (1)

***

<ii>
V3H5O8 | PBE+U | optimized geometry

```
V3H5O8
1.0
9.680 -1.556 0.000
9.680 1.556 0.000
-1.161 0.000 4.653
V H O
3 5 8
Cartesian
0.000 0.000 0.000 V
12.345 0.000 0.165 V
15.233 0.000 2.457 V
1.880 0.000 2.646 H
3.709 0.000 3.513 H
6.208 0.000 0.299 H
7.550 0.000 1.308 H
9.271 0.000 2.184 H
1.707 0.000 1.056 O
2.139 0.000 3.630 O
4.733 0.000 3.501 O
6.478 0.000 1.316 O
8.986 0.000 1.204 O
9.455 0.000 3.770 O
13.775 0.000 1.170 O
16.786 0.000 3.627 O
```

Values from the calculation:
Crystal system = monoclinic
Space group = Cm (8)

***

Most stable structure, least stable structure: <ii>, <i>.